The following is a PBE calculation of CePm4Hg7 after structural relaxation, from Alexandria via LeMat-Bulk.

a = 5.6699 Å, b = 9.9252 Å, c = 7.0791 Å
α = 82.12°, β = 66.39°, γ = 73.40°
Closest atoms and distances in Å follow each position.
Fractional coordinates of all 12 atoms:
Hg (0.9258, 0.3318, 0.8166)  4 Hg 3.16-3.48, 3 Pm 3.24-3.30, 1 Ce 3.34
Hg (0.7918, 0.9124, 0.5040)  4 Pm 3.06-3.22, 4 Hg 3.16-3.34, 1 Ce 3.35
Hg (0.0742, 0.6682, 0.1834)  4 Hg 3.16-3.48, 3 Pm 3.24-3.30, 1 Ce 3.34
Pm (0.7414, 0.6711, 0.8462)  6 Hg 3.15-3.31
Pm (0.4184, 0.7766, 0.3866)  8 Hg 3.06-3.30
Hg (0.3616, 0.5385, 0.7383)  5 Pm 3.12-3.31, 4 Hg 3.17-3.48
Pm (0.5816, 0.2234, 0.6134)  8 Hg 3.06-3.30
Pm (0.2586, 0.3289, 0.1538)  6 Hg 3.15-3.31
Hg (0.2082, 0.0876, 0.4960)  4 Pm 3.06-3.22, 4 Hg 3.16-3.34, 1 Ce 3.35
Hg (0.5000, 0.0000, 0.0000)  2 Ce 2.83
Hg (0.6384, 0.4615, 0.2617)  5 Pm 3.12-3.31, 4 Hg 3.17-3.48
Ce (0.0000, 0.0000, 0.0000)  2 Hg 2.83

## Properties
* DFT total energy: -2.548 eV per atom
* spin magnetization: 1.21 μB/f.u.
* energy of formation: -3.53 eV per formula unit



The following is a PBE calculation of Ce2PmHg after structural relaxation, from Alexandria via LeMat-Bulk.

a = 5.1649 Å, b = 4.6509 Å, c = 4.6509 Å
α = 90.00°, β = 90.00°, γ = 90.00°
Closest atoms and distances in Å follow each position.
Fractional coordinates of all 4 atoms:
Ce (0.0000, 0.0000, 0.5000)  4 Ce 3.29, 4 Hg 3.48, 4 Pm 3.48
Ce (0.0000, 0.5000, 0.0000)  4 Ce 3.29, 4 Hg 3.48, 4 Pm 3.48
Pm (0.5000, 0.5000, 0.5000)  4 Hg 3.29, 8 Ce 3.48
Hg (0.5000, 0.0000, 0.0000)  4 Pm 3.29, 8 Ce 3.48

## Properties
* offset from the most stable computed form: 0 meV/atom
* DFT total energy: -4.327 eV per atom
* spin magnetization: 1.80 μB/f.u.
* energy of formation: -0.39 eV per formula unit



The following is a PBE calculation of CePm2Hg after structural relaxation, from Alexandria via LeMat-Bulk.

a = 4.7521 Å, b = 4.9443 Å, c = 4.9443 Å
α = 90.00°, β = 90.00°, γ = 90.00°
Closest atoms and distances in Å follow each position.
Fractional coordinates of all 4 atoms:
Pm (0.0000, 0.0000, 0.5000)  4 Ce 3.43, 4 Hg 3.43, 4 Pm 3.50
Hg (0.5000, 0.0000, 0.0000)  8 Pm 3.43, 4 Ce 3.50
Pm (0.0000, 0.5000, 0.0000)  4 Hg 3.43, 4 Ce 3.43, 4 Pm 3.50
Ce (0.5000, 0.5000, 0.5000)  8 Pm 3.43, 4 Hg 3.50

## Properties
* offset from the most stable computed form: 78 meV/atom
* DFT total energy: -4.052 eV per atom
* spin magnetization: 1.15 μB/f.u.
* energy of formation: -0.47 eV per formula unit



The following is a PBE calculation of CePm2Hg4 after structural relaxation, from Alexandria via LeMat-Bulk.

a = 5.7379 Å, b = 5.7379 Å, c = 8.8922 Å
α = 108.82°, β = 108.82°, γ = 90.00°
Closest atoms and distances in Å follow each position.
Fractional coordinates of all 7 atoms:
Hg (0.0000, 0.5000, 0.0000)  2 Ce 2.87
Hg (0.5000, 0.0000, 0.0000)  2 Ce 2.87
Pm (0.6013, 0.6013, 0.2026)  5 Hg 3.16-3.29, 1 Pm 3.21
Hg (0.1993, 0.1993, 0.3986)  1 Ce 3.15, 1 Pm 3.16
Ce (0.0000, 0.0000, 0.0000)  6 Hg 2.87-3.15
Hg (0.8007, 0.8007, 0.6014)  1 Ce 3.15, 1 Pm 3.16
Pm (0.3987, 0.3987, 0.7974)  5 Hg 3.16-3.29, 1 Pm 3.21

## Properties
* offset from the most stable computed form: 390 meV/atom
* DFT total energy: -2.302 eV per atom
* spin magnetization: 1.15 μB/f.u.
* energy of formation: 0.53 eV per formula unit



The following is a PBE calculation of CePmHg3 after structural relaxation, from Alexandria via LeMat-Bulk.

a = 6.5356 Å, b = 8.1758 Å, c = 10.7535 Å
α = 111.53°, β = 90.00°, γ = 90.00°
Closest atoms and distances in Å follow each position.
Fractional coordinates of all 20 atoms:
Ce (0.6465, 0.1055, 0.9667)  1 Ce 2.84, 1 Hg 3.18
Hg (0.3803, 0.6660, 0.4312)  4 Hg 3.09-3.39, 2 Pm 3.09-3.10, 2 Ce 3.18-3.20
Ce (0.1465, 0.3945, 0.5333)  1 Ce 2.84, 1 Hg 3.18
Hg (0.5270, 0.7262, 0.7295)  5 Hg 3.09-3.30, 2 Pm 3.20-3.46, 3 Ce 3.25-3.39
Hg (0.0270, 0.7738, 0.7705)  5 Hg 3.09-3.30, 2 Pm 3.20-3.46, 3 Ce 3.25-3.39
Pm (0.6727, 0.9661, 0.3474)  8 Hg 3.09-3.46
Hg (0.6197, 0.3340, 0.5688)  4 Hg 3.09-3.39, 2 Pm 3.09-3.10, 2 Ce 3.18-3.20
Hg (0.1651, 0.9551, 0.3513)  3 Hg 3.13-3.39, 4 Pm 3.22-3.32, 2 Ce 3.40-3.49
Hg (0.8803, 0.8340, 0.0688)  4 Hg 3.09-3.39, 2 Pm 3.09-3.10, 2 Ce 3.18-3.20
Hg (0.8349, 0.0449, 0.6487)  3 Hg 3.13-3.39, 4 Pm 3.22-3.32, 2 Ce 3.40-3.49
Pm (0.1727, 0.5339, 0.1526)  8 Hg 3.09-3.46
Hg (0.1197, 0.1660, 0.9312)  4 Hg 3.09-3.39, 2 Pm 3.09-3.10, 2 Ce 3.18-3.20
Ce (0.8535, 0.6055, 0.4667)  1 Ce 2.84, 1 Hg 3.18
Hg (0.4730, 0.2738, 0.2705)  5 Hg 3.09-3.30, 2 Pm 3.20-3.46, 3 Ce 3.25-3.39
Hg (0.6651, 0.5449, 0.1487)  3 Hg 3.13-3.39, 4 Pm 3.22-3.32, 2 Ce 3.40-3.49
Hg (0.3349, 0.4551, 0.8513)  3 Hg 3.13-3.39, 4 Pm 3.22-3.32, 2 Ce 3.40-3.49
Hg (0.9730, 0.2262, 0.2295)  5 Hg 3.09-3.30, 2 Pm 3.20-3.46, 3 Ce 3.25-3.39
Ce (0.3535, 0.8945, 0.0333)  1 Ce 2.84, 1 Hg 3.18
Pm (0.8273, 0.4661, 0.8474)  8 Hg 3.09-3.46
Pm (0.3273, 0.0339, 0.6526)  8 Hg 3.09-3.46

## Properties
* offset from the most stable computed form: 20 meV/atom
* DFT total energy: -2.660 eV per atom
* spin magnetization: 0.98 μB/f.u.
* energy of formation: -1.71 eV per formula unit



The following is a PBE calculation of CePm2Hg after structural relaxation, from Alexandria via LeMat-Bulk.

a = 3.6385 Å, b = 3.6385 Å, c = 11.0508 Å
α = 80.52°, β = 80.52°, γ = 60.00°
Closest atoms and distances in Å follow each position.
Fractional coordinates of all 4 atoms:
Pm (0.0770, 0.0770, 0.7689)  3 Hg 3.27, 3 Ce 3.59, 6 Pm 3.64
Ce (0.4997, 0.4997, 0.5008)  6 Pm 3.59-3.61, 6 Ce 3.64
Pm (0.2565, 0.2565, 0.2304)  3 Hg 3.27, 3 Ce 3.61, 6 Pm 3.64
Hg (0.6667, 0.6667, 0.9999)  6 Pm 3.27, 6 Hg 3.64

## Properties
* offset from the most stable computed form: 114 meV/atom
* DFT total energy: -4.016 eV per atom
* spin magnetization: 1.18 μB/f.u.
* energy of formation: -0.33 eV per formula unit



The following is a PBE calculation of CePmHg after structural relaxation, from Alexandria via LeMat-Bulk.

a = 3.5944 Å, b = 5.1893 Å, c = 5.1893 Å
α = 120.00°, β = 90.00°, γ = 90.00°
Closest atoms and distances in Å follow each position.
Fractional coordinates of all 3 atoms:
Pm (0.6442, 0.6667, 0.3333)  3 Hg 3.19, 3 Ce 3.28
Ce (0.0128, 0.0000, 0.0000)  3 Hg 3.22, 3 Pm 3.28, 2 Ce 3.59
Hg (0.3431, 0.3333, 0.6667)  3 Pm 3.19, 3 Ce 3.22

## Properties
* offset from the most stable computed form: 86 meV/atom
* DFT total energy: -3.769 eV per atom
* spin magnetization: 0.90 μB/f.u.
* energy of formation: -0.32 eV per formula unit



The following is a PBE calculation of CePm2Hg after structural relaxation, from Alexandria via LeMat-Bulk.

a = 3.6691 Å, b = 3.6691 Å, c = 8.7240 Å
α = 90.00°, β = 90.00°, γ = 90.00°
Closest atoms and distances in Å follow each position.
Fractional coordinates of all 4 atoms:
Ce (0.5000, 0.5000, 0.5000)  8 Pm 3.49, 4 Ce 3.67
Pm (0.0000, 0.0000, 0.7679)  4 Hg 3.29, 4 Ce 3.49, 4 Pm 3.67
Hg (0.5000, 0.5000, 0.0000)  8 Pm 3.29, 4 Hg 3.67
Pm (0.0000, 0.0000, 0.2321)  4 Hg 3.29, 4 Ce 3.49, 4 Pm 3.67

## Properties
* offset from the most stable computed form: 0 meV/atom
* DFT total energy: -4.130 eV per atom
* spin magnetization: 0.30 μB/f.u.
* energy of formation: -0.78 eV per formula unit



The following is a PBE calculation of Ce2PmHg after structural relaxation, from Alexandria via LeMat-Bulk.

a = 5.4538 Å, b = 5.4538 Å, c = 5.4538 Å
α = 60.00°, β = 60.00°, γ = 60.00°
Closest atoms and distances in Å follow each position.
Fractional coordinates of all 4 atoms:
Ce (0.7500, 0.7500, 0.7500)  4 Hg 3.34, 4 Pm 3.34
Pm (0.0000, 0.0000, 0.0000)  8 Ce 3.34
Hg (0.5000, 0.5000, 0.5000)  8 Ce 3.34
Ce (0.2500, 0.2500, 0.2500)  4 Hg 3.34, 4 Pm 3.34

## Properties
* offset from the most stable computed form: 135 meV/atom
* DFT total energy: -4.192 eV per atom
* spin magnetization: 2.73 μB/f.u.
* energy of formation: 0.15 eV per formula unit



The following is a PBE calculation of CePm2Hg5 after structural relaxation, from Alexandria via LeMat-Bulk.

a = 5.3206 Å, b = 5.3206 Å, c = 8.3915 Å
α = 108.48°, β = 108.48°, γ = 90.00°
Closest atoms and distances in Å follow each position.
Fractional coordinates of all 8 atoms:
Hg (0.1230, 0.6230, 0.2459)  4 Pm 3.11-3.45, 2 Hg 3.24, 2 Ce 3.24
Hg (0.5000, 0.5000, 0.0000)  8 Hg 3.24, 2 Pm 3.46
Hg (0.3770, 0.8770, 0.7541)  4 Pm 3.11-3.45, 2 Ce 3.24, 2 Hg 3.24
Hg (0.6230, 0.1230, 0.2459)  4 Pm 3.11-3.45, 2 Ce 3.24, 2 Hg 3.24
Ce (0.0000, 0.0000, 0.0000)  8 Hg 3.24
Pm (0.7308, 0.7308, 0.4617)  9 Hg 3.11-3.46
Pm (0.2692, 0.2692, 0.5383)  9 Hg 3.11-3.46
Hg (0.8770, 0.3770, 0.7541)  4 Pm 3.11-3.45, 2 Hg 3.24, 2 Ce 3.24

## Properties
* DFT total energy: -2.516 eV per atom
* spin magnetization: 0.98 μB/f.u.
* energy of formation: -3.18 eV per formula unit



The following is a PBE calculation of CePm2Hg8 after structural relaxation, from Alexandria via LeMat-Bulk.

a = 5.0881 Å, b = 7.3481 Å, c = 8.4844 Å
α = 109.28°, β = 107.45°, γ = 90.00°
Closest atoms and distances in Å follow each position.
Fractional coordinates of all 11 atoms:
Pm (0.2085, 0.6498, 0.4169)  10 Hg 3.17-3.55
Hg (0.4054, 0.5408, 0.8108)  4 Hg 3.05-3.32, 2 Pm 3.17, 1 Ce 3.19
Hg (0.0214, 0.7272, 0.0428)  7 Hg 3.14-3.46, 1 Pm 3.27, 2 Ce 3.33
Hg (0.6734, 0.9012, 0.3468)  4 Hg 3.05-3.32, 1 Ce 3.13, 3 Pm 3.19-3.31
Hg (0.1517, 0.1721, 0.3034)  5 Hg 3.06-3.32, 3 Pm 3.31-3.36
Hg (0.3266, 0.0988, 0.6532)  4 Hg 3.05-3.32, 1 Ce 3.13, 3 Pm 3.19-3.31
Hg (0.8483, 0.8279, 0.6966)  5 Hg 3.06-3.32, 3 Pm 3.31-3.36
Pm (0.7915, 0.3502, 0.5831)  10 Hg 3.17-3.55
Hg (0.9786, 0.2728, 0.9572)  7 Hg 3.14-3.46, 1 Pm 3.27, 2 Ce 3.33
Hg (0.5946, 0.4592, 0.1892)  4 Hg 3.05-3.32, 2 Pm 3.17, 1 Ce 3.19
Ce (0.5000, 0.0000, 0.0000)  12 Hg 3.13-3.46

## Properties
* offset from the most stable computed form: 0 meV/atom
* DFT total energy: -1.949 eV per atom
* spin magnetization: 1.08 μB/f.u.
* energy of formation: -3.59 eV per formula unit



The following is a PBE calculation of Ce2Pm2Hg after structural relaxation, from Alexandria via LeMat-Bulk.

a = 3.9285 Å, b = 3.9285 Å, c = 10.2330 Å
α = 101.07°, β = 101.07°, γ = 90.00°
Closest atoms and distances in Å follow each position.
Fractional coordinates of all 5 atoms:
Ce (0.2500, 0.7500, 0.5000)  4 Ce 2.78
Ce (0.7500, 0.2500, 0.5000)  4 Ce 2.78
Pm (0.5872, 0.5872, 0.1745)  4 Hg 3.27, 1 Pm 3.44
Pm (0.4128, 0.4128, 0.8255)  4 Hg 3.27, 1 Pm 3.44
Hg (0.0000, 0.0000, 0.0000)  8 Pm 3.27

## Properties
* DFT total energy: -4.187 eV per atom
* spin magnetization: 0.24 μB/f.u.
* energy of formation: 0.73 eV per formula unit